Compound: Er2PaPd9
Source: Alexandria
Functional: PBE
Structure: relaxed

Summary:
uncorrected energy	-6.37	eV/atom
DFT formation energy	-0.921	eV per atom
DOS at the Fermi energy	1.8	states/eV per cell

```
Er2PaPd9
1.0
4.119 0.000 0.000
0.000 4.119 0.000
0.000 0.000 12.331
Pd Pa Er
9 1 2
direct
0.000 0.500 0.500
0.000 0.500 0.837
0.500 0.000 0.500
0.500 0.500 0.332
0.500 0.500 0.000
0.500 0.000 0.837
0.500 0.500 0.668
0.500 0.000 0.163
0.000 0.500 0.163
0.000 0.000 0.000
0.000 0.000 0.661
0.000 0.000 0.339
```

Compound: NbPd
Source: Alexandria
Functional: PBE
Structure: relaxed

Summary:
uncorrected energy	-7.87	eV/atom
DFT formation energy	-0.241	eV per atom
DOS at the Fermi energy	6.2	states/eV per cell

```
NbPd
1.0
-4.596 0.447 -2.134
1.155 -0.503 -2.594
0.276 -9.137 1.896
Pd Nb
4 4
direct
0.641 0.500 0.876
0.359 0.000 0.624
0.641 0.000 0.376
0.359 0.500 0.124
0.847 0.500 0.628
0.153 0.500 0.372
0.153 0.000 0.872
0.847 0.000 0.128
```

Compound: NaZrP
Source: Alexandria
Functional: PBE
Structure: relaxed

Summary:
uncorrected energy	-5.91	eV/atom
DFT formation energy	-0.821	eV per atom
DOS at the Fermi energy	3.7	states/eV per cell

```
NaZrP
1.0
-0.613 -2.531 -2.520
-2.169 -1.768 2.303
-17.371 11.617 -7.441
Zr Na P
4 4 4
direct
0.000 0.500 0.455
0.500 0.000 0.545
0.000 0.500 0.045
0.500 0.000 0.955
0.000 0.000 0.314
0.500 0.500 0.814
0.500 0.500 0.186
0.000 0.000 0.686
0.000 0.500 0.577
0.500 0.000 0.077
0.000 0.500 0.923
0.500 0.000 0.423
```

Compound: Pr2NdH7
Source: Alexandria
Functional: PBE
Structure: relaxed

Summary:
uncorrected energy	-4.38	eV/atom
DOS at the Fermi energy	2.3	states/eV per cell

```
Pr2NdH7
1.0
3.810 0.000 -0.733
-0.141 3.807 -0.733
-0.309 -0.320 8.662
Pr Nd H
2 1 7
direct
0.335 0.335 0.670
0.665 0.665 0.330
0.000 0.000 0.000
0.415 0.915 0.830
0.585 0.085 0.170
0.250 0.750 0.500
0.750 0.250 0.500
0.915 0.415 0.830
0.085 0.585 0.170
0.500 0.500 0.000
```

Compound: CePr3Sm3S8
Source: Alexandria
Functional: PBE
Structure: relaxed

Summary:
E_form (uncorrected)	-2.024	eV/atom
uncorrected energy	-6.52	eV/atom
DOS at the Fermi energy	12.4	states/eV per cell

```
CePr3Sm3S8
1.0
-6.576 -3.544 3.115
6.985 -0.125 4.087
-4.113 6.953 -0.772
Pr S Sm Ce
3 8 3 1
direct
0.000 0.500 0.000
0.000 0.000 0.000
0.500 0.500 0.000
0.751 0.006 0.257
0.253 0.506 0.258
0.751 0.502 0.257
0.255 0.006 0.257
0.249 0.994 0.743
0.747 0.494 0.742
0.249 0.498 0.743
0.745 0.994 0.743
0.000 0.500 0.500
0.500 0.500 0.500
0.500 0.000 0.500
0.000 0.000 0.500
```

Compound: ScAl5Co6
Source: Alexandria
Functional: PBE
Structure: relaxed

Summary:
uncorrected energy	-6.20	eV/atom
DFT formation energy	-0.559	eV per atom
DOS at the Fermi energy	4.7	states/eV per cell

```
ScAl5Co6
1.0
3.876 -0.023 1.293
0.031 5.823 0.010
0.000 -0.012 6.471
Co Sc Al
6 1 5
direct
0.830 0.256 0.341
0.500 0.739 0.000
0.830 0.744 0.341
0.500 0.261 0.000
0.170 0.256 0.659
0.170 0.744 0.659
0.000 0.000 0.000
0.668 0.000 0.663
0.665 0.500 0.669
0.332 0.000 0.337
0.335 0.500 0.331
0.000 0.500 0.000
```

Compound: ScTiSbSe2
Source: Alexandria
Functional: PBE
Structure: relaxed

Summary:
E_form (uncorrected)	0.511	eV/atom
uncorrected energy	-4.55	eV/atom
DOS at the Fermi energy	5.9	states/eV per cell

```
ScTiSbSe2
1.0
5.411 0.000 0.000
0.000 5.139 0.000
0.000 0.000 5.411
Sc Sb Ti Se
1 1 1 2
direct
0.500 0.500 0.500
0.000 0.000 0.000
0.000 0.500 0.000
0.500 0.000 0.000
0.000 0.000 0.500
```

Compound: ZnIn4Ag
Source: Alexandria
Functional: PBE
Structure: relaxed

Summary:
uncorrected energy	-2.49	eV/atom
DFT formation energy	0.019	eV per atom
DOS at the Fermi energy	3.3	states/eV per cell
offset from the most stable computed form	0.0	meV per atom

```
ZnIn4Ag
1.0
6.260 0.000 -3.193
-1.629 6.044 -3.193
-0.087 -0.114 7.562
Ag In Zn
2 8 2
direct
0.500 0.500 0.000
0.000 0.000 0.000
0.522 0.022 0.730
0.791 0.291 0.270
0.478 0.978 0.270
0.978 0.791 0.270
0.709 0.522 0.730
0.022 0.209 0.730
0.209 0.709 0.730
0.291 0.478 0.270
0.250 0.250 0.500
0.750 0.750 0.500
```

Compound: LiSb2Ru
Source: Alexandria
Functional: PBE
Structure: relaxed

Summary:
E_form (uncorrected)	0.056	eV/atom
uncorrected energy	-4.80	eV/atom
DOS at the Fermi energy	4.3	states/eV per cell
offset from the most stable computed form	244.5	meV per atom

```
LiSb2Ru
1.0
5.501 0.014 0.000
2.579 4.859 0.000
-4.040 -2.436 2.829
Li Ru Sb
1 1 2
direct
0.500 0.500 0.000
0.750 0.250 0.500
0.000 0.000 0.000
0.250 0.750 0.500
```

Compound: LaZrMn2
Source: Alexandria
Functional: PBE
Structure: relaxed

Summary:
uncorrected energy	-7.68	eV/atom
DFT formation energy	0.278	eV per atom
DOS at the Fermi energy	3.6	states/eV per cell
offset from the most stable computed form	121.4	meV per atom

```
LaZrMn2
1.0
6.269 0.017 -0.046
5.350 3.268 -0.046
1.604 0.454 4.133
Mn La Zr
2 1 1
direct
0.053 0.053 0.948
0.662 0.662 0.837
0.278 0.278 0.222
0.507 0.507 0.493
```

Compound: Ce5AlGe5
Source: Alexandria
Functional: PBE
Structure: relaxed

Summary:
uncorrected energy	-5.49	eV/atom
DFT formation energy	-0.351	eV per atom
DOS at the Fermi energy	21.8	states/eV per cell

```
Ce5AlGe5
1.0
-5.504 2.427 0.203
0.642 -5.558 -5.365
-1.247 -3.300 5.648
Ce Al Ge
5 1 5
direct
0.000 0.000 0.500
0.319 0.638 0.665
0.359 0.718 0.243
0.641 0.282 0.757
0.681 0.362 0.335
0.000 0.000 0.000
0.500 0.000 0.000
0.833 0.667 0.099
0.841 0.682 0.704
0.159 0.318 0.296
0.167 0.333 0.901
```

Compound: PrNd4Sm2Er2
Source: Alexandria
Functional: PBE
Structure: relaxed

Summary:
uncorrected energy	-4.69	eV/atom
DFT formation energy	0.018	eV per atom
DOS at the Fermi energy	13.9	states/eV per cell

```
PrNd4Sm2Er2
1.0
5.140 0.000 0.000
-2.570 7.716 -0.009
0.000 -2.562 7.700
Sm Nd Er Pr
2 4 2 1
direct
0.112 0.224 0.668
0.888 0.776 0.332
0.223 0.445 0.330
0.555 0.110 0.332
0.445 0.890 0.668
0.777 0.555 0.670
0.332 0.663 0.001
0.668 0.337 0.999
0.000 0.000 0.000
```

Compound: MgWBr
Source: Alexandria
Functional: PBE
Structure: relaxed

Summary:
E_form (uncorrected)	0.628	eV/atom
uncorrected energy	-4.78	eV/atom
DOS at the Fermi energy	1.1	states/eV per cell
offset from the most stable computed form	144.0	meV per atom

```
MgWBr
1.0
6.737 0.013 0.000
5.325 4.127 0.000
-6.031 -2.070 2.175
Mg Br W
1 1 1
direct
0.309 0.309 0.000
0.028 0.028 0.000
0.663 0.663 0.000
```

Compound: AsRu2
Source: Alexandria
Functional: PBE
Structure: relaxed

Summary:
uncorrected energy	-7.58	eV/atom
DFT formation energy	0.149	eV per atom
DOS at the Fermi energy	5.8	states/eV per cell

```
AsRu2
1.0
1.437 -8.049 0.000
1.437 8.049 0.000
0.000 0.000 3.856
Ru As
4 2
direct
0.287 0.713 0.750
0.066 0.934 0.250
0.713 0.287 0.250
0.934 0.066 0.750
0.388 0.612 0.250
0.612 0.388 0.750
```

Compound: MgZn2Cl
Source: Alexandria
Functional: PBE
Structure: relaxed

Summary:
E_form (uncorrected)	-0.145	eV/atom
uncorrected energy	-1.64	eV/atom
DOS at the Fermi energy	0.7	states/eV per cell
offset from the most stable computed form	249.7	meV per atom

```
MgZn2Cl
1.0
3.344 -0.067 0.000
-1.320 3.073 0.000
0.000 0.000 8.050
Cl Zn Mg
1 2 1
direct
0.500 0.500 0.250
0.000 0.000 0.005
0.000 0.000 0.495
0.500 0.500 0.750
```

Compound: SrPSe3
Source: Alexandria
Functional: PBE
Structure: relaxed

Summary:
E_form (uncorrected)	-0.608	eV/atom
uncorrected energy	-4.12	eV/atom
DOS at the Fermi energy	3.1	states/eV per cell
offset from the most stable computed form	355.7	meV per atom

```
SrPSe3
1.0
4.974 0.000 0.000
0.000 4.974 0.000
0.000 0.000 4.974
Se Sr P
3 1 1
direct
0.000 0.500 0.000
0.000 0.000 0.500
0.500 0.000 0.000
0.500 0.500 0.500
0.000 0.000 0.000
```

Compound: Sc3Tl2Cl10
Source: Alexandria
Functional: PBE
Structure: relaxed

Summary:
E_form (uncorrected)	-1.768	eV/atom
uncorrected energy	-4.58	eV/atom
DOS at the Fermi energy	8.2	states/eV per cell

```
Sc3Tl2Cl10
1.0
-5.030 3.828 3.759
-7.175 -6.284 -3.202
7.390 -5.637 8.435
Cl Sc Tl
20 6 4
direct
0.500 0.000 0.500
0.483 0.819 0.967
0.020 0.197 0.039
0.613 0.533 0.712
0.900 0.467 0.288
0.641 0.961 0.778
0.772 0.500 0.000
0.138 0.961 0.778
0.387 0.467 0.288
0.130 0.751 0.260
0.228 0.500 0.000
0.980 0.803 0.961
0.870 0.249 0.740
0.000 0.000 0.500
0.359 0.039 0.222
0.862 0.039 0.222
0.236 0.283 0.471
0.100 0.533 0.712
0.517 0.181 0.033
0.764 0.717 0.529
0.751 0.000 0.000
0.819 0.975 0.639
0.181 0.025 0.361
0.923 0.521 0.846
0.077 0.479 0.154
0.249 0.000 0.000
0.631 0.712 0.262
0.733 0.349 0.465
0.267 0.651 0.535
0.369 0.288 0.738
```

Compound: GaSn4Au5
Source: Alexandria
Functional: PBE
Structure: relaxed

Summary:
uncorrected energy	-3.69	eV/atom
DFT formation energy	-0.143	eV per atom
DOS at the Fermi energy	3.6	states/eV per cell

```
GaSn4Au5
1.0
5.121 -0.127 2.206
2.299 6.073 1.086
1.387 -0.006 7.615
Sn Au Ga
4 5 1
direct
0.666 0.239 0.634
0.189 0.434 0.173
0.886 0.551 0.823
0.369 0.765 0.383
0.375 0.677 0.780
0.219 0.144 0.605
0.846 0.859 0.369
0.383 0.997 0.007
0.689 0.334 0.229
0.868 0.001 0.996
```

Compound: Li2Sm3Pb4
Source: Alexandria
Functional: PBE
Structure: relaxed

Summary:
uncorrected energy	-4.12	eV/atom
DFT formation energy	-0.470	eV per atom
DOS at the Fermi energy	3.8	states/eV per cell

```
Li2Sm3Pb4
1.0
4.508 0.000 1.331
1.808 5.690 2.175
-0.334 0.674 9.427
Pb Sm Li
4 3 2
direct
0.701 0.678 0.920
0.078 0.228 0.615
0.299 0.322 0.080
0.922 0.772 0.385
0.000 0.000 0.000
0.628 0.435 0.308
0.372 0.565 0.692
0.692 0.992 0.625
0.308 0.008 0.375
```

Compound: PaCuCl2
Source: Alexandria
Functional: PBE
Structure: relaxed

Summary:
E_form (uncorrected)	-0.650	eV/atom
uncorrected energy	-4.97	eV/atom
DOS at the Fermi energy	3.5	states/eV per cell

```
PaCuCl2
1.0
3.342 0.000 0.000
1.671 2.894 0.000
1.671 0.965 9.037
Cl Cu Pa
2 1 1
direct
0.909 0.909 0.274
0.091 0.091 0.726
0.000 0.000 0.000
0.500 0.500 0.500
```